Entry 1:
# AlSi2Os3

AlSi2Os3 after structural relaxation (PBE, Alexandria).

Lattice parameters (Å, degrees): 2.9749 2.9749 8.9219 90.00 90.00 90.00
Closest atoms and distances in Å follow each position.
Space group P4/mmm (No. 123)
Asymmetric unit:
1 Al 0.0000 0.0000 0.0000 (multiplicity 1)  8 Os 2.62
2 Si 0.0000 0.0000 0.3305 (multiplicity 2)  8 Os 2.52-2.59
3 Os 0.5000 0.5000 0.1756 (multiplicity 2)  4 Si 2.52, 4 Al 2.62
4 Os 0.5000 0.5000 0.5000 (multiplicity 1)  8 Si 2.59, 2 Os 2.89

Values from the calculation:
ΔE_f (raw), eV per atom: -0.405
DOS at the Fermi energy, states/eV/f.u.: 2.6
Magnetization, μB/f.u.: 0.00

Entry 2:
# LaHoSc4

LaHoSc4 after structural relaxation (PBE, Alexandria).

Lattice parameters (Å, degrees): 5.3873 10.2807 5.9676 90.00 90.00 90.00
Closest atoms and distances in Å follow each position.
Space group Pmmn (No. 59, origin choice 2)
Asymmetric unit:
1 La 0.2500 0.2500 0.0759 (multiplicity 2)  10 Sc 3.36-3.54, 2 Ho 3.42
2 Ho 0.2500 0.7500 0.5721 (multiplicity 2)  10 Sc 3.36-3.54, 2 La 3.42
3 Sc 0.2500 0.0771 0.5895 (multiplicity 4)  7 Sc 3.30-3.55, 3 Ho 3.36-3.37, 2 La 3.40-3.54
4 Sc 0.2500 0.5799 0.0885 (multiplicity 4)  7 Sc 3.31-3.50, 3 La 3.36-3.39, 2 Ho 3.37-3.54

Values from the calculation:
DOS at the Fermi energy, states/eV/f.u.: 12.1
Magnetization, μB/f.u.: 0.00
Calculated formation energy, kJ/mol of atoms: 5

Entry 3:
# CeSmDy2Y

CeSmDy2Y after structural relaxation (PBE, Alexandria).

Lattice parameters (Å, degrees): 5.9060 7.8310 7.0998 90.00 90.00 90.00
Closest atoms and distances in Å follow each position.
Space group Pmma (No. 51)
Asymmetric unit:
1 Ce 0.0000 0.0000 0.0000 (multiplicity 2)  2 Ce 2.95, 2 Y 3.16
2 Sm 0.2500 0.5000 0.1624 (multiplicity 2)  6 Dy 3.54-3.76, 2 Sm 3.75
3 Dy 0.2500 0.2944 0.6833 (multiplicity 4)  1 Y 3.09, 1 Dy 3.22
4 Y 0.2500 0.0000 0.3932 (multiplicity 2)  2 Dy 3.09, 2 Ce 3.16, 2 Y 3.32

Values from the calculation:
DOS at the Fermi energy, states/eV/f.u.: 10.0
Magnetization, μB/f.u.: 1.70
Calculated formation energy, kJ/mol of atoms: 29

Entry 4:
# LuCdPdRh

LuCdPdRh after structural relaxation (PBE, Alexandria).

Lattice parameters (Å, degrees): 6.6207 6.6207 6.6207 90.00 90.00 90.00
Closest atoms and distances in Å follow each position.
Space group F-43m (No. 216)
Asymmetric unit:
1 Lu 0.0000 0.0000 0.0000 (multiplicity 4)  4 Rh 2.87, 4 Pd 2.87
2 Cd 0.0000 0.0000 0.5000 (multiplicity 4)  4 Rh 2.87, 4 Pd 2.87
3 Pd 0.2500 0.2500 0.2500 (multiplicity 4)  4 Cd 2.87, 4 Lu 2.87
4 Rh 0.2500 0.2500 0.7500 (multiplicity 4)  4 Cd 2.87, 4 Lu 2.87

Values from the calculation:
DOS at the Fermi energy, states/eV/f.u.: 1.7
Magnetization, μB/f.u.: 0.00
Calculated formation energy, kJ/mol of atoms: -69

Entry 5:
# Ac2ErTl3Se6

Ac2ErTl3Se6 after structural relaxation (PBE, Alexandria).

Lattice parameters (Å, degrees): 7.6936 13.2994 8.1389 90.00 108.30 90.00
Closest atoms and distances in Å follow each position.
Space group C2/m (No. 12)
Asymmetric unit:
1 Ac 0.0000 0.1667 0.0000 (multiplicity 4)  6 Se 3.11-3.12
2 Er 0.0000 0.5000 0.0000 (multiplicity 2)  6 Se 2.89-2.92
3 Tl 0.0000 0.0000 0.5000 (multiplicity 2)  6 Se 3.34-3.50
4 Tl 0.0000 0.3334 0.5000 (multiplicity 4)  6 Se 3.32-3.53
5 Se 0.2262 0.3442 0.2104 (multiplicity 8)  1 Er 2.89, 2 Ac 3.11
6 Se 0.2406 0.5000 0.7851 (multiplicity 4)  1 Er 2.92, 2 Ac 3.12

Values from the calculation:
ΔE_f (raw), eV per atom: -1.409
DOS at the Fermi energy, states/eV/f.u.: 0.0
Magnetization, μB/f.u.: 0.00

Entry 6:
# DyScCu3

DyScCu3 after structural relaxation (PBE, Alexandria).

Lattice parameters (Å, degrees): 3.4331 24.8444 4.2601 90.00 90.00 90.00
Closest atoms and distances in Å follow each position.
Space group Cmcm (No. 63)
Asymmetric unit:
1 Dy 0.0000 0.0753 0.2500 (multiplicity 4)  12 Cu 2.98-3.08
2 Sc 0.0000 0.2082 0.7500 (multiplicity 4)  7 Cu 2.72-2.83
3 Cu 0.0000 0.3216 0.7500 (multiplicity 4)  2 Cu 2.53, 5 Sc 2.82-2.83
4 Cu 0.0000 0.3769 0.2500 (multiplicity 4)  3 Cu 2.45-2.53, 2 Sc 2.72
5 Cu 0.0000 0.4757 0.2500 (multiplicity 4)  3 Cu 2.45

Values from the calculation:
DOS at the Fermi energy, states/eV/f.u.: 3.9
Magnetization, μB/f.u.: 0.00
Calculated formation energy, kJ/mol of atoms: -24

Entry 7:
# CeIn2Ag3

CeIn2Ag3 after structural relaxation (PBE, Alexandria).

Lattice parameters (Å, degrees): 17.3749 4.7514 6.7812 90.00 103.49 90.00
Closest atoms and distances in Å follow each position.
Space group C2/m (No. 12)
Asymmetric unit:
1 Ce 0.1197 0.0000 0.1557 (multiplicity 4)  6 Ag 3.28-3.39, 7 In 3.41-3.60
2 In 0.0150 0.5000 0.7918 (multiplicity 4)  4 Ag 2.79-3.03, 1 In 2.99
3 In 0.2317 0.0000 0.6637 (multiplicity 4)  7 Ag 2.81-3.10
4 Ag 0.0693 0.0000 0.6577 (multiplicity 4)  3 In 2.79-2.81, 3 Ag 2.82-2.93
5 Ag 0.1318 0.5000 0.4969 (multiplicity 4)  3 Ag 2.82-2.93, 4 In 2.83-3.00
6 Ag 0.1943 0.5000 0.9195 (multiplicity 4)  3 Ag 2.82-3.10, 4 In 2.82-3.10

Values from the calculation:
DOS at the Fermi energy, states/eV/f.u.: 8.5
Magnetization, μB/f.u.: 1.02
Calculated formation energy, kJ/mol of atoms: -18

Entry 8:
# La4PrNd5

La4PrNd5 after structural relaxation (PBE, Alexandria).

Lattice parameters (Å, degrees): 17.7356 3.6495 11.5161 90.00 90.02 90.00
Closest atoms and distances in Å follow each position.
Space group C2/m (No. 12)
Asymmetric unit:
1 La 0.0302 0.0000 0.2495 (multiplicity 4)  4 Nd 3.39-3.45, 2 Pr 3.46, 4 La 3.65-3.77
2 La 0.1555 0.5000 0.7504 (multiplicity 4)  4 La 3.65-3.77, 7 Nd 3.76-3.99, 1 Pr 3.99
3 Pr 0.0000 0.5000 0.5000 (multiplicity 2)  4 La 3.46, 4 Nd 3.64, 2 Pr 3.65
4 Nd 0.0000 0.5000 0.0000 (multiplicity 2)  4 La 3.45, 6 Nd 3.64-3.65
5 Nd 0.1736 0.0000 0.0554 (multiplicity 4)  2 La 3.39-3.77, 6 Nd 3.51-3.65
6 Nd 0.1740 0.0000 0.4438 (multiplicity 4)  2 La 3.39-3.76, 4 Nd 3.50-3.65, 2 Pr 3.64

Values from the calculation:
DOS at the Fermi energy, states/eV/f.u.: 16.1
Magnetization, μB/f.u.: 0.00
Calculated formation energy, kJ/mol of atoms: 16

Entry 9:
# Ac4Bi2Pt

Ac4Bi2Pt after structural relaxation (PBE, Alexandria).

Lattice parameters (Å, degrees): 5.6621 5.6621 18.0505 90.00 90.00 90.00
Closest atoms and distances in Å follow each position.
Space group I4/mmm (No. 139)
Asymmetric unit:
1 Ac 0.0000 0.0000 0.1745 (multiplicity 4)  1 Pt 3.15, 1 Bi 3.43
2 Ac 0.0000 0.5000 0.0000 (multiplicity 4)  2 Pt 2.83
3 Bi 0.0000 0.0000 0.3643 (multiplicity 4)  5 Ac 3.43-3.74
4 Pt 0.0000 0.0000 0.0000 (multiplicity 2)  6 Ac 2.83-3.15

Values from the calculation:
DOS at the Fermi energy, states/eV/f.u.: 5.3
Magnetization, μB/f.u.: 0.00
Calculated formation energy, kJ/mol of atoms: -70

Entry 10:
# ZrAsBr2O

ZrAsBr2O after structural relaxation (PBE, Alexandria).

Lattice parameters (Å, degrees): 4.6694 4.6694 4.4235 90.00 90.00 90.00
Closest atoms and distances in Å follow each position.
Space group P4/mmm (No. 123)
Asymmetric unit:
1 Zr 0.0000 0.0000 0.0000 (multiplicity 1)  8 Br 3.22, 4 As 3.30
2 As 0.5000 0.5000 0.0000 (multiplicity 1)  2 O 2.21
3 Br 0.0000 0.5000 0.5000 (multiplicity 2)  2 O 2.33
4 O 0.5000 0.5000 0.5000 (multiplicity 1)  2 As 2.21, 4 Br 2.33

Values from the calculation:
ΔE_f (raw), eV per atom: 0.242
DOS at the Fermi energy, states/eV/f.u.: 3.9
Magnetization, μB/f.u.: 0.00

Entry 11:
# Mg7Sn2Ge2

Mg7Sn2Ge2 after structural relaxation (PBE, Alexandria).

Lattice parameters (Å, degrees): 7.5654 9.7140 7.3651 90.00 90.00 90.00
Closest atoms and distances in Å follow each position.
Space group Cmmm (No. 65)
Asymmetric unit:
1 Mg 0.0000 0.0000 0.0000 (multiplicity 2)  2 Sn 2.75
2 Mg 0.0000 0.5000 0.2769 (multiplicity 4)  2 Ge 2.85, 2 Sn 2.93, 4 Mg 3.08
3 Mg 0.2500 0.2500 0.2966 (multiplicity 8)  2 Ge 2.89, 2 Sn 2.91, 3 Mg 3.00-3.08
4 Sn 0.0000 0.2833 0.0000 (multiplicity 4)  7 Mg 2.75-2.93
5 Ge 0.1929 0.0000 0.5000 (multiplicity 4)  6 Mg 2.85-2.89, 1 Ge 2.92

Values from the calculation:
DOS at the Fermi energy, states/eV/f.u.: 3.0
Magnetization, μB/f.u.: 0.00
Calculated formation energy, kJ/mol of atoms: -3

Entry 12:
# K5B2S5

K5B2S5 after structural relaxation (PBE, Alexandria).

Lattice parameters (Å, degrees): 13.8133 4.0368 10.2734 90.00 98.26 90.00
Closest atoms and distances in Å follow each position.
Space group C2/m (No. 12)
Asymmetric unit:
1 K 0.0000 0.0000 0.0000 (multiplicity 2)  6 S 3.05-3.21
2 K 0.1508 0.0000 0.5875 (multiplicity 4)  5 S 2.95-3.25, 1 K 3.18
3 K 0.2092 0.5000 0.1383 (multiplicity 4)  5 S 3.12-3.43, 1 K 3.18, 1 B 3.35
4 B 0.0174 0.5000 0.3039 (multiplicity 4)  2 S 1.90-2.06
5 S 0.0000 0.5000 0.5000 (multiplicity 2)  2 B 2.06
6 S 0.0932 0.0000 0.2878 (multiplicity 4)  2 B 2.29
7 S 0.1008 0.5000 0.8162 (multiplicity 4)  1 B 1.90

Values from the calculation:
ΔE_f (raw), eV per atom: -0.543
DOS at the Fermi energy, states/eV/f.u.: 3.0
Magnetization, μB/f.u.: 0.00